CrMoAu: single point on PBEsol structure, meta-GGA SCAN.

Computed properties:
Magnetic moment: 0.00 Bohr magnetons per cell
E_form: 26 kJ per mole of atoms

Cell and atoms, written as CIF:
```
data_CrMoAu
_cell_length_a 3.1399
_cell_length_b 4.3177
_cell_length_c 12.9662
_cell_angle_alpha 90.00
_cell_angle_beta 90.00
_cell_angle_gamma 90.00
_symmetry_space_group_name_H-M 'F m m 2'
_symmetry_Int_Tables_number 42
_symmetry_space_group_name_Hall 'F 2 -2'
loop_
_atom_site_label
_atom_site_type_symbol
_atom_site_fract_x
_atom_site_fract_y
_atom_site_fract_z
Cr1 Cr 0.0000 0.0000 0.0000
Mo1 Mo 0.0000 0.0000 0.6470
Au1 Au 0.0000 0.0000 0.3306
```